No. 1
Computed, not measured: CeErAgRh after structural relaxation at the GGA-PBE level of DFT.

Geometry as POSCAR:
```
CeErAgRh
1.0
5.022 0.000 0.000
2.511 4.349 0.000
2.511 1.450 4.101
Rh Ag Ce Er
1 1 1 1
Cartesian
2.511 1.450 1.025 Rh
7.533 4.349 3.075 Ag
5.022 2.900 2.050 Ce
0.000 0.000 0.000 Er
```

Output
Space-group type = No. 216
DFT formation energy = -0.4528 eV per atom



No. 2
Computed, not measured: CeEuRh2 after structural relaxation at the GGA-PBE level of DFT.

Geometry as POSCAR:
```
CeEuRh2
1.0
3.491 0.000 0.000
0.000 3.491 0.000
0.000 0.000 7.122
Eu Rh Ce
1 2 1
Cartesian
1.746 1.746 3.561 Eu
0.000 0.000 5.604 Rh
0.000 0.000 1.517 Rh
1.746 1.746 0.000 Ce
```

Output
Offset from the most stable computed form = 0 meV/atom
Space-group type = No. 123
DFT formation energy = -0.6112 eV per atom



No. 3
Computed, not measured: NbTcSn4 after structural relaxation at the GGA-PBE level of DFT.

Geometry as POSCAR:
```
NbTcSn4
1.0
6.048 0.000 -3.085
-1.574 5.839 -3.085
-0.032 -0.041 7.408
Nb Tc Sn
2 2 8
Cartesian
2.237 2.920 -3.085 Nb
0.000 0.000 0.000 Nb
1.103 1.439 2.162 Tc
3.340 4.359 -0.923 Tc
1.355 5.715 -2.504 Sn
4.678 4.601 -3.458 Sn
0.988 2.795 -0.373 Sn
3.454 3.003 1.611 Sn
-0.236 1.197 4.696 Sn
3.088 0.083 3.742 Sn
0.130 4.116 2.566 Sn
4.312 1.682 -1.328 Sn
```

Output
Space-group type = No. 140
DFT formation energy = -0.0292 eV per atom



No. 4
Computed, not measured: ZrBeV3 after structural relaxation at the GGA-PBE level of DFT.

Geometry as POSCAR:
```
ZrBeV3
1.0
4.603 0.000 0.000
0.000 4.603 0.000
0.000 0.000 4.603
Be Zr V
1 1 3
Cartesian
2.301 2.301 2.301 Be
0.000 0.000 0.000 Zr
0.000 2.301 0.000 V
0.000 0.000 2.301 V
2.301 0.000 0.000 V
```

Output
Offset from the most stable computed form = 1422 meV/atom
Space-group type = No. 221
DFT formation energy = 1.9547 eV per atom